No. 1
A plane-wave DFT calculation with PBE was carried out for IrPbO3 after structural relaxation.

Results
As for the uncorrected formation energy: -4.05 eV/f.u. As for the density: 10477 kg/m3. Its volume is 283.6 Å³ per cell.

Unit cell a=10.6948 b=3.9791 c=6.7633 alpha=90.00 beta=99.77 gamma=90.00
Last column: nearest neighbours and their distance in Å.
Space group C2/m (No. 12)
One atom of each set of equivalent atoms:
Ir 0.1363 0.0000 0.4239  6 O 2.01-2.08
Pb 0.1162 0.5000 0.8817  3 O 2.24-2.44
O 0.0582 0.0000 0.6788  2 Ir 2.04-2.08
O 0.1714 0.5000 0.4570  3 Ir 2.03-2.08
O 0.1776 0.0000 0.1446  1 Ir 2.01, 1 Pb 2.24



No. 2
A plane-wave DFT calculation with PBE was carried out for Ir2PbO after structural relaxation.

Results
As for the uncorrected formation energy: 3.76 eV/f.u. As for the density: 16154 kg/m3. Its volume is 249.8 Å³ per cell. The value obtained for the energy above the most stable polymorph in this dataset is 732 meV per atom.

Unit cell a=6.2983 b=6.2983 c=6.2983 alpha=90.00 beta=90.00 gamma=90.00
Last column: nearest neighbours and their distance in Å.
Space group Fm-3m (No. 225)
One atom of each set of equivalent atoms:
Ir 0.2500 0.2500 0.2500  4 O 2.73, 4 Pb 2.73
Pb 0.0000 0.0000 0.0000  8 Ir 2.73
O 0.0000 0.0000 0.5000  8 Ir 2.73



No. 3
A plane-wave DFT calculation with PBE was carried out for IrPbO3 after structural relaxation.

Results
As for the uncorrected formation energy: 3.57 eV/f.u. As for the density: 10199 kg/m3. Its volume is 72.8 Å³ per cell.

Unit cell a=4.1763 b=4.1763 c=4.1763 alpha=90.00 beta=90.00 gamma=90.00
Last column: nearest neighbours and their distance in Å.
Space group Pm-3m (No. 221)
One atom of each set of equivalent atoms:
Ir 0.0000 0.0000 0.0000  12 O 2.95
Pb 0.5000 0.5000 0.5000  6 O 2.09
O 0.0000 0.5000 0.5000  2 Pb 2.09



No. 4
A plane-wave DFT calculation with PBE was carried out for IrPdPbO4 after structural relaxation.

Results
As for the uncorrected formation energy: -4.66 eV/f.u. As for the density: 9199 kg/m3. Its volume is 411.5 Å³ per cell.

Unit cell a=5.9756 b=6.3690 c=10.8112 alpha=90.00 beta=90.00 gamma=90.00
Last column: nearest neighbours and their distance in Å.
Space group Imma (No. 74)
One atom of each set of equivalent atoms:
Ir 0.0000 0.0000 0.0000  6 O 2.03
Pd 0.2500 0.2500 0.2500  4 O 2.10
Pb 0.0000 0.2500 0.6635  4 O 2.33-2.49
O 0.0000 0.0460 0.1854  1 Ir 2.03, 2 Pd 2.10
O 0.2058 0.2500 0.9781  2 Ir 2.03



No. 5
A plane-wave DFT calculation with PBE was carried out for IrPdPbO6 after structural relaxation.

Results
As for the uncorrected formation energy: -5.96 eV/f.u. As for the density: 8046 kg/m3. Its volume is 248.4 Å³ per cell.

Unit cell a=5.3243 b=5.3243 c=10.1183 alpha=90.00 beta=90.00 gamma=120.00
Last column: nearest neighbours and their distance in Å.
Space group P-31c (No. 163)
One atom of each set of equivalent atoms:
Ir 0.3333 0.6667 0.2500  6 O 1.96
Pd 0.3333 0.6667 0.7500  6 O 2.03
Pb 0.0000 0.0000 0.0000  6 O 2.46
O 0.0092 0.3781 0.1431  1 Ir 1.96, 1 Pd 2.03



No. 6
A plane-wave DFT calculation with PBE was carried out for PmIr2PbO8 after structural relaxation.

Results
As for the uncorrected formation energy: -9.62 eV/f.u. As for the density: 7582 kg/m3. Its volume is 189.4 Å³ per cell.

Unit cell a=5.7734 b=5.7734 c=6.5601 alpha=90.00 beta=90.00 gamma=120.00
Last column: nearest neighbours and their distance in Å.
Space group P-3 (No. 147)
One atom of each set of equivalent atoms:
Pm 0.0000 0.0000 0.0000  6 O 2.31
Ir 0.3333 0.6667 0.9516  4 O 1.84-1.98
Pb 0.0000 0.0000 0.5000  12 O 3.19-3.52, 2 Pm 3.28
O 0.0641 0.3964 0.1383  2 Ir 1.98-2.22
O 0.3333 0.6667 0.6714  1 Ir 1.84